No. 1
First-principles (GGA-PBE) data for ZrAs after structural relaxation, as listed in the Alexandria database.

The structure in extended XYZ format:
```
8
Lattice="2.3680 -4.1016 0.0000 2.3680 4.1016 0.0000 0.0000 0.0000 8.6951" Properties=species:S:1:pos:R:3 pbc="T T T"
As 2.3680 1.3672 0.7876
Zr 0.0000 0.0000 6.5213
Zr 0.0000 0.0000 2.1738
Zr 2.3680 -1.3672 2.1738
Zr 2.3680 1.3672 6.5213
As 2.3680 1.3672 3.5599
As 2.3680 -1.3672 7.9074
As 2.3680 -1.3672 5.1352
```

Summary:
DOS at the Fermi energy: 0.985 states/eV per atom
crystal system: hexagonal
DFT total energy: -52.62 eV per cell
formation enthalpy at 0 K: 0.02 eV per atom

=====

No. 2
First-principles (GGA-PBE) data for Er3Hg3Au2 after structural relaxation, as listed in the Alexandria database.

The structure in extended XYZ format:
```
8
Lattice="5.1577 0.0000 0.0000 0.0000 4.9709 0.0000 0.0000 0.0000 7.2487" Properties=species:S:1:pos:R:3 pbc="T T T"
Er 0.0000 2.4854 0.0000
Er 2.5789 0.0000 3.6244
Au 0.0000 0.0000 5.2990
Hg 2.5789 2.4854 1.7782
Hg 2.5789 0.0000 0.0000
Er 0.0000 2.4854 3.6244
Au 0.0000 0.0000 1.9497
Hg 2.5789 2.4854 5.4705
```

Summary:
DOS at the Fermi energy: 0.635 states/eV per atom
crystal system: orthorhombic
DFT total energy: -25.48 eV per cell
formation enthalpy at 0 K: -0.54 eV per atom

=====

No. 3
First-principles (GGA-PBE) data for Lu2Al after structural relaxation, as listed in the Alexandria database.

The structure in extended XYZ format:
```
3
Lattice="-0.9566 2.8187 1.5809 -2.9160 -1.4636 0.8451 4.6359 -2.8628 4.3169" Properties=species:S:1:pos:R:3 pbc="T T T"
Lu -1.1209 0.0175 2.8833
Al 0.0000 0.0000 0.0000
Lu 1.8842 -1.5252 3.8596
```

Summary:
DOS at the Fermi energy: 0.802 states/eV per atom
crystal system: tetragonal
DFT total energy: -13.58 eV per cell
formation enthalpy at 0 K: -0.27 eV per atom

=====

No. 4
First-principles (GGA-PBE) data for V3Cr3Si2 after structural relaxation, as listed in the Alexandria database.

The structure in extended XYZ format:
```
8
Lattice="4.6008 -0.0013 -0.0013 0.0039 4.6008 -0.0013 0.0039 0.0039 4.6008" Properties=species:S:1:pos:R:3 pbc="T T T"
Cr 1.1548 2.3030 3.4499
V 3.4512 1.1496 -0.0013
Si 3.4516 3.4477 3.4438
Cr 2.3043 3.4512 1.1483
Si 1.1570 1.1557 1.1544
Cr 3.4538 1.1509 2.2991
V 0.0039 3.4512 1.1496
V 1.1535 0.0026 3.4499
```

Summary:
formation energy from raw total energies: -3.8 eV/f.u.
DOS at the Fermi energy: 0.420 states/eV per atom
crystal system: trigonal
DFT total energy: -70.83 eV per cell

=====

No. 5
First-principles (GGA-PBE) data for BaCdIr after structural relaxation, as listed in the Alexandria database.

The structure in extended XYZ format:
```
3
Lattice="4.6720 0.0000 0.0000 -2.3360 4.0460 0.0000 0.0000 0.0000 4.6039" Properties=species:S:1:pos:R:3 pbc="T T T"
Cd 0.0000 2.6974 2.3032
Ba 0.0000 0.0000 4.6039
Ir 2.3360 1.3487 2.3006
```

Summary:
DOS at the Fermi energy: 0.611 states/eV per atom
crystal system: hexagonal
DFT total energy: -11.71 eV per cell
formation enthalpy at 0 K: 0.00 eV per atom

=====

No. 6
First-principles (GGA-PBE) data for KBeMo2 after structural relaxation, as listed in the Alexandria database.

The structure in extended XYZ format:
```
4
Lattice="-2.0754 1.6936 -0.2716 -1.6973 -1.9664 0.7084 0.9020 2.6171 9.4259" Properties=species:S:1:pos:R:3 pbc="T T T"
Mo 0.0426 0.1236 0.4453
K -1.2328 1.7598 7.0477
Be 0.4034 1.1706 4.2161
Mo -1.6329 0.5989 2.8666
```

Summary:
DOS at the Fermi energy: 0.696 states/eV per atom
crystal system: tetragonal
DFT total energy: -23.15 eV per cell
formation enthalpy at 0 K: 0.83 eV per atom

=====

No. 7
First-principles (GGA-PBE) data for Sr3NpPa3N8 after structural relaxation, as listed in the Alexandria database.

The structure in extended XYZ format:
```
15
Lattice="7.1631 -0.0001 0.0005 -3.5816 6.2037 -0.0224 0.0004 -4.1154 6.0248" Properties=species:S:1:pos:R:3 pbc="T T T"
Sr 1.7908 3.1018 -0.0110
Np 0.0002 -2.0577 3.0124
Sr -1.7908 3.1018 -0.0112
Pa 3.5818 -2.0577 3.0126
N 1.8105 3.1269 4.0389
Pa -1.7906 1.0441 3.0012
N 0.0003 -0.0096 4.0500
Pa 1.7910 1.0441 3.0015
N 0.0001 2.0732 1.7853
N 3.5818 0.0150 4.2176
N 5.3920 -1.0388 1.9642
N 3.5817 2.0978 1.9530
N 1.7714 -1.0387 1.9640
Sr 0.0000 0.0000 0.0000
N -1.8101 3.1270 4.0387
```

Summary:
formation energy from raw total energies: -19.1 eV/f.u.
DOS at the Fermi energy: 0.995 states/eV per atom
crystal system: trigonal
DFT total energy: -132.16 eV per cell

=====

No. 8
First-principles (GGA-PBE) data for PaNi2Au after structural relaxation, as listed in the Alexandria database.

The structure in extended XYZ format:
```
4
Lattice="3.2410 0.0000 0.0000 0.0000 3.2410 0.0000 0.0000 0.0000 6.2865" Properties=species:S:1:pos:R:3 pbc="T T T"
Au 1.6205 1.6205 0.0000
Pa 1.6205 1.6205 3.1433
Ni 0.0000 0.0000 1.4469
Ni 0.0000 0.0000 4.8396
```

Summary:
DOS at the Fermi energy: 0.700 states/eV per atom
crystal system: tetragonal
DFT total energy: -25.19 eV per cell
formation enthalpy at 0 K: -0.21 eV per atom